The following is a DFT calculation (PBE with a Hubbard U) of TlVCdO4 after structural relaxation.

Its symmetry is No. 11. The value obtained for the density of states at the Fermi level is 0.0000 states/eV per atom.

Unit cell a=6.112 b=6.065 c=7.288 alpha=90.00 beta=103.50 gamma=90.00
Atoms (fractional coordinates):
Tl (0.225, 0.250, 0.412)
Tl (0.775, 0.750, 0.588)
V (0.201, 0.750, 0.121)
V (0.799, 0.250, 0.879)
Cd (0.333, 0.250, 0.938)
Cd (0.667, 0.750, 0.062)
O (0.003, 0.750, 0.261)
O (0.069, 0.750, 0.891)
O (0.387, 0.519, 0.166)
O (0.387, 0.981, 0.166)
O (0.613, 0.019, 0.834)
O (0.613, 0.481, 0.834)
O (0.931, 0.250, 0.109)
O (0.997, 0.250, 0.739)

***

The following is a DFT calculation (PBE with a Hubbard U) of Tl2VCdO4 after structural relaxation.

Its symmetry is No. 31. The value obtained for the density of states at the Fermi level is 0.1779 states/eV per atom.

Unit cell a=7.453 b=7.509 c=5.609 alpha=90.00 beta=90.00 gamma=90.00
Atoms (fractional coordinates):
Tl (0.242, 0.153, 0.000)
Tl (0.258, 0.847, 0.500)
Tl (0.742, 0.847, 0.500)
Tl (0.758, 0.153, 0.000)
V (0.000, 0.388, 0.473)
V (0.500, 0.612, 0.973)
Cd (0.000, 0.687, 0.997)
Cd (0.500, 0.313, 0.497)
O (0.000, 0.405, 0.159)
O (0.000, 0.602, 0.601)
O (0.191, 0.270, 0.562)
O (0.309, 0.730, 0.062)
O (0.500, 0.398, 0.101)
O (0.500, 0.595, 0.659)
O (0.691, 0.730, 0.062)
O (0.809, 0.270, 0.562)

***

The following is a DFT calculation (PBE with a Hubbard U) of Tl2V2CdO7 after structural relaxation.

Its symmetry is No. 12.

Unit cell a=3.927 b=3.927 c=11.510 alpha=96.73 beta=96.73 gamma=88.57
Atoms (fractional coordinates):
Tl (0.187, 0.187, 0.371)
Tl (0.813, 0.813, 0.629)
V (0.386, 0.386, 0.832)
V (0.614, 0.614, 0.168)
Cd (0.000, 0.000, 0.000)
O (0.057, 0.559, 0.156)
O (0.386, 0.386, 0.679)
O (0.441, 0.943, 0.844)
O (0.500, 0.500, 0.000)
O (0.559, 0.057, 0.156)
O (0.614, 0.614, 0.321)
O (0.943, 0.441, 0.844)

***

E_tot / eV per cell: -81.028, -85.399, -71.661